Record 1
{
  "formula": "Pm2Zn2CdPd5",
  "functional": "PBE-GGA",
  "state": "optimized geometry",
  "cell": [[9.864, 0.000, 0.000], [0.000, 9.864, 0.000], [0.000, 0.000, 3.835]],
  "species": ["Pm", "Pm", "Pm", "Pm", "Zn", "Zn", "Zn", "Zn", "Cd", "Cd", "Pd", "Pd", "Pd", "Pd", "Pd", "Pd", "Pd", "Pd", "Pd", "Pd"],
  "frac_coords": [[0.178, 0.322, 0.000], [0.322, 0.822, 0.000], [0.678, 0.178, 0.000], [0.822, 0.678, 0.000], [0.118, 0.618, 0.000], [0.382, 0.118, 0.000], [0.618, 0.882, 0.000], [0.882, 0.382, 0.000], [0.000, 0.000, 0.000], [0.500, 0.500, 0.000], [0.000, 0.500, 0.500], [0.067, 0.791, 0.500], [0.209, 0.067, 0.500], [0.291, 0.567, 0.500], [0.433, 0.291, 0.500], [0.500, 0.000, 0.500], [0.567, 0.709, 0.500], [0.709, 0.433, 0.500], [0.791, 0.933, 0.500], [0.933, 0.209, 0.500]],
  "sg": "No. 127",
  "total_magnetization_mub_per_cell": 0.00,
  "formation_enthalpy_0k_ev_per_atom": -0.640
}

---

Record 2
{
  "formula": "TbTm3S6",
  "functional": "PBE-GGA",
  "state": "optimized geometry",
  "cell": [[10.931, 0.000, 0.000], [0.000, 3.910, 0.000], [-3.614, 0.000, 10.590]],
  "species": ["Tb", "Tb", "Tm", "Tm", "Tm", "Tm", "Tm", "Tm", "S", "S", "S", "S", "S", "S", "S", "S", "S", "S", "S", "S"],
  "frac_coords": [[0.046, 0.250, 0.192], [0.954, 0.750, 0.808], [0.161, 0.250, 0.585], [0.318, 0.750, 0.998], [0.435, 0.250, 0.332], [0.565, 0.750, 0.668], [0.682, 0.250, 0.002], [0.839, 0.750, 0.415], [0.082, 0.750, 0.403], [0.113, 0.250, 0.963], [0.194, 0.750, 0.749], [0.258, 0.750, 0.225], [0.397, 0.250, 0.562], [0.477, 0.250, 0.113], [0.523, 0.750, 0.887], [0.603, 0.750, 0.438], [0.742, 0.250, 0.775], [0.806, 0.250, 0.251], [0.887, 0.750, 0.037], [0.918, 0.250, 0.597]],
  "raw_formation_energy_kcal_per_mol_atoms": -47.90,
  "sg": "No. 11",
  "total_magnetization_mub_per_cell": 0.00,
  "polymorph_energy_ev_per_fu": 0.000
}

---

Record 3
{
  "formula": "BiOs2O",
  "functional": "PBE-GGA",
  "state": "optimized geometry",
  "cell": [[0.000, 3.148, 3.148], [3.148, 0.000, 3.148], [3.148, 3.148, 0.000]],
  "species": ["Bi", "Os", "Os", "O"],
  "frac_coords": [[0.000, 0.000, 0.000], [0.250, 0.250, 0.250], [0.750, 0.750, 0.750], [0.500, 0.500, 0.500]],
  "raw_formation_energy_kcal_per_mol_atoms": 30.85,
  "sg": "No. 225",
  "total_magnetization_mub_per_cell": 0.00,
  "polymorph_energy_ev_per_fu": 3.269
}

---

Record 4
{
  "formula": "PmPu4Pa3P8",
  "functional": "PBE-GGA",
  "state": "optimized geometry",
  "cell": [[4.015, 2.318, 6.497], [-4.015, 2.318, 6.497], [0.000, -4.636, 6.497]],
  "species": ["Pm", "Pu", "Pu", "Pu", "Pu", "Pa", "Pa", "Pa", "P", "P", "P", "P", "P", "P", "P", "P"],
  "frac_coords": [[0.000, 0.000, 0.000], [0.000, 0.000, 0.500], [0.000, 0.500, 0.000], [0.500, 0.000, 0.000], [0.500, 0.500, 0.500], [0.000, 0.500, 0.500], [0.500, 0.000, 0.500], [0.500, 0.500, 0.000], [0.251, 0.251, 0.251], [0.253, 0.253, 0.743], [0.253, 0.743, 0.253], [0.257, 0.747, 0.747], [0.743, 0.253, 0.253], [0.747, 0.257, 0.747], [0.747, 0.747, 0.257], [0.749, 0.749, 0.749]],
  "sg": "No. 166",
  "total_magnetization_mub_per_cell": 11.06,
  "formation_enthalpy_0k_ev_per_atom": -1.279
}

---

Record 5
{
  "formula": "Er13Tl2",
  "functional": "PBE-GGA",
  "state": "optimized geometry",
  "cell": [[6.662, 0.000, 0.000], [1.098, 8.407, 0.000], [1.705, 3.281, 7.985]],
  "species": ["Er", "Er", "Er", "Er", "Er", "Er", "Er", "Er", "Er", "Er", "Er", "Er", "Er", "Tl", "Tl"],
  "frac_coords": [[0.000, 0.000, 0.000], [0.120, 0.481, 0.738], [0.199, 0.228, 0.151], [0.258, 0.940, 0.583], [0.306, 0.654, 0.973], [0.373, 0.410, 0.389], [0.489, 0.146, 0.796], [0.511, 0.854, 0.204], [0.627, 0.590, 0.611], [0.694, 0.346, 0.027], [0.742, 0.060, 0.417], [0.801, 0.772, 0.849], [0.880, 0.519, 0.262], [0.060, 0.770, 0.380], [0.940, 0.230, 0.620]],
  "sg": "No. 2",
  "total_magnetization_mub_per_cell": 1.06,
  "formation_enthalpy_0k_ev_per_atom": -0.058
}

---

Record 6
{
  "formula": "La4Bi5H2",
  "functional": "PBE-GGA",
  "state": "optimized geometry",
  "cell": [[10.431, -1.803, 0.000], [10.431, 1.803, 0.000], [-3.983, 0.000, 8.388]],
  "species": ["La", "La", "La", "La", "Bi", "Bi", "Bi", "Bi", "Bi", "H", "H"],
  "frac_coords": [[0.011, 0.011, 0.196], [0.311, 0.311, 0.842], [0.689, 0.689, 0.158], [0.989, 0.989, 0.804], [0.147, 0.147, 0.822], [0.179, 0.179, 0.471], [0.500, 0.500, 0.500], [0.821, 0.821, 0.529], [0.853, 0.853, 0.178], [0.442, 0.442, 0.943], [0.558, 0.558, 0.057]],
  "sg": "No. 12",
  "total_magnetization_mub_per_cell": 0.00,
  "total_energy_ev_per_atom": -4.598
}

---

Record 7
{
  "formula": "GeTe2PdI",
  "functional": "PBE-GGA",
  "state": "optimized geometry",
  "cell": [[5.291, 0.000, 0.000], [0.000, 5.291, 0.000], [0.000, 0.000, 5.441]],
  "species": ["Ge", "Te", "Te", "Pd", "I"],
  "frac_coords": [[0.000, 0.000, 0.000], [0.000, 0.500, 0.500], [0.500, 0.000, 0.500], [0.500, 0.500, 0.500], [0.500, 0.500, 0.000]],
  "raw_formation_energy_kcal_per_mol_atoms": 8.44,
  "sg": "No. 123",
  "total_magnetization_mub_per_cell": 0.00,
  "polymorph_energy_ev_per_fu": 0.000
}

---

Record 8
{
  "formula": "La3C4F",
  "functional": "PBE-GGA",
  "state": "optimized geometry",
  "cell": [[-1.736, 2.812, 6.893], [1.736, -2.812, 6.893], [1.736, 2.812, -6.893]],
  "species": ["La", "La", "La", "C", "C", "C", "C", "F"],
  "frac_coords": [[0.000, 0.000, 0.000], [0.336, 0.836, 0.500], [0.664, 0.164, 0.500], [0.032, 0.650, 0.382], [0.269, 0.650, 0.618], [0.731, 0.350, 0.382], [0.968, 0.350, 0.618], [0.500, 0.500, 0.000]],
  "raw_formation_energy_kcal_per_mol_atoms": -13.80,
  "sg": "No. 71",
  "total_magnetization_mub_per_cell": 0.00
}

---

Record 9
{
  "formula": "PrNd7Ho12",
  "functional": "PBE-GGA",
  "state": "optimized geometry",
  "cell": [[-5.657, 5.657, 5.657], [5.657, -5.657, 5.657], [5.657, 5.657, -5.657]],
  "species": ["Pr", "Nd", "Nd", "Nd", "Nd", "Nd", "Nd", "Nd", "Ho", "Ho", "Ho", "Ho", "Ho", "Ho", "Ho", "Ho", "Ho", "Ho", "Ho", "Ho"],
  "frac_coords": [[0.000, 0.000, 0.000], [0.000, 0.000, 0.500], [0.000, 0.500, 0.000], [0.000, 0.500, 0.500], [0.500, 0.000, 0.000], [0.500, 0.000, 0.500], [0.500, 0.500, 0.000], [0.500, 0.500, 0.500], [0.000, 0.250, 0.750], [0.000, 0.750, 0.250], [0.250, 0.000, 0.750], [0.250, 0.250, 0.501], [0.250, 0.501, 0.250], [0.250, 0.750, 0.000], [0.499, 0.750, 0.750], [0.501, 0.250, 0.250], [0.750, 0.000, 0.250], [0.750, 0.250, 0.000], [0.750, 0.499, 0.750], [0.750, 0.750, 0.499]],
  "sg": "No. 229",
  "total_magnetization_mub_per_cell": 0.00,
  "formation_enthalpy_0k_ev_per_atom": 0.631,
  "polymorph_energy_ev_per_fu": 8.023
}

---

Record 10
{
  "formula": "Sc2CdSeO8",
  "functional": "PBE-GGA",
  "state": "optimized geometry",
  "cell": [[3.321, -3.370, 0.000], [3.321, 3.370, 0.000], [0.000, 0.000, 6.530]],
  "species": ["Sc", "Sc", "Cd", "Se", "O", "O", "O", "O", "O", "O", "O", "O"],
  "frac_coords": [[0.000, 0.000, 0.248], [0.000, 0.000, 0.752], [0.500, 0.500, 0.500], [0.500, 0.500, 0.000], [0.180, 0.180, 0.500], [0.225, 0.225, 0.000], [0.313, 0.687, 0.199], [0.313, 0.687, 0.801], [0.687, 0.313, 0.199], [0.687, 0.313, 0.801], [0.775, 0.775, 0.000], [0.820, 0.820, 0.500]],
  "raw_formation_energy_kcal_per_mol_atoms": -37.58,
  "sg": "No. 65",
  "total_magnetization_mub_per_cell": 1.23
}

---

Record 11
{
  "formula": "NaCa2Mn2",
  "functional": "PBE-GGA",
  "state": "optimized geometry",
  "cell": [[-1.643, 1.643, 11.392], [1.643, -1.643, 11.392], [1.643, 1.643, -11.392]],
  "species": ["Na", "Ca", "Ca", "Mn", "Mn"],
  "frac_coords": [[0.000, 0.000, 0.000], [0.360, 0.360, 0.000], [0.640, 0.640, 0.000], [0.250, 0.750, 0.500], [0.750, 0.250, 0.500]],
  "sg": "No. 139",
  "total_magnetization_mub_per_cell": 0.00,
  "formation_enthalpy_0k_ev_per_atom": 0.486,
  "polymorph_energy_ev_per_fu": 0.000
}

---

Record 12
{
  "formula": "MgZr2AuO",
  "functional": "PBE-GGA",
  "state": "optimized geometry",
  "cell": [[4.438, 0.000, 0.000], [0.000, 4.438, 0.000], [0.000, 0.000, 4.319]],
  "species": ["Mg", "Zr", "Zr", "Au", "O"],
  "frac_coords": [[0.000, 0.000, 0.000], [0.000, 0.500, 0.500], [0.500, 0.000, 0.500], [0.500, 0.500, 0.000], [0.000, 0.000, 0.500]],
  "raw_formation_energy_kcal_per_mol_atoms": -27.41,
  "sg": "No. 123",
  "total_magnetization_mub_per_cell": 0.00
}